LiVH2 | PBE | relaxed

D(E_F) (states/eV per atom): 0.3004
Electronic total energy (eV/atom): -4.185
SG: Fm-3m, No. 225
ΔE to the lowest computed polymorph (eV per atom): 0.451

Cell lengths 3.3916, 3.3916, 3.3916 Å; angles 60.00, 60.00, 60.00 degrees
Fractional positions:
Li (0.0000, 0.0000, 0.0000)
V (0.5000, 0.5000, 0.5000)
H (0.2500, 0.2500, 0.2500)
H (0.7500, 0.7500, 0.7500)